YMgS2 | Alexandria via LeMat-Bulk | GGA-PBE | relaxed; total magnetic moment = 0.84 μB per formula unit; crystal system = tetragonal; E_form (uncorrected) = -5.420 eV/f.u.
1.0
-2.9996 2.9996 5.8050
2.9996 -2.9996 5.8050
2.9996 2.9996 -5.8050
Y Mg S
2 2 4
Direct
0.0000 0.0000 0.0000
0.7500 0.2500 0.5000
0.2500 0.7500 0.5000
0.5000 0.5000 0.0000
0.1541 0.6250 0.0291
0.3750 0.4041 0.5291
0.5959 0.1250 0.9709
0.8750 0.8459 0.4709